DyInHgAu: optimized geometry, PBE.

Calculated values
- Fermi-level density of states: 2.18 states/eV/cell
- Crystal system: cubic
- Total magnetization: 0.00 μB/cell
- Formation energy from the elements: -50.7 kJ per mole of atoms

Lattice parameters (Å, degrees): 5.0466 5.0466 5.0466 60.00 60.00 60.00
Closest atoms and distances in Å follow each position.
Fractional positions:
Hg 0.2500 0.2500 0.2500  4 In 3.09, 4 Dy 3.09
In 0.0000 0.0000 0.0000  4 Au 3.09, 4 Hg 3.09
Dy 0.5000 0.5000 0.5000  4 Hg 3.09, 4 Au 3.09
Au 0.7500 0.7500 0.7500  4 In 3.09, 4 Dy 3.09